1.
# GGA-PBE TlVW2, optimized geometry
# Volume (Å³/cell): 148
# Magnetic moment (μB/f.u.): 1.34
# E_form (eV/atom): 1.133
# Fermi-level density of states (states/eV/atom): 1.04
# Calculated total energy (eV per atom): -8.215
data_TlVW2
_space_group_name_H-M_alt 'P 1'
_space_group_IT_number 1
_space_group_name_Hall 'P 1'
_cell_length_a 3.8584
_cell_length_b 3.8584
_cell_length_c 10.3333
_cell_angle_alpha 79.24
_cell_angle_beta 79.24
_cell_angle_gamma 90.00
loop_
_atom_site_label
_atom_site_type_symbol
_atom_site_fract_x
_atom_site_fract_y
_atom_site_fract_z
Tl1 Tl 0.0000 0.0000 0.0000
V1 V 0.5000 0.5000 0.0000
V2 V 0.2500 0.7500 0.5000
Tl2 Tl 0.7500 0.2500 0.5000
W1 W 0.6038 0.1250 0.2500
W2 W 0.8750 0.8538 0.7500
W3 W 0.1462 0.6250 0.2500
W4 W 0.3750 0.3962 0.7500

=====

2.
# GGA-PBE KZrTl2, optimized geometry
# Volume (Å³/cell): 119
# Magnetic moment (μB/f.u.): 0.00
# E_form (eV/atom): 0.302
# Fermi-level density of states (states/eV/atom): 0.59
# Calculated total energy (eV per atom): -3.293
data_KZrTl2
_space_group_name_H-M_alt 'P 1'
_space_group_IT_number 1
_space_group_name_Hall 'P 1'
_cell_length_a 3.3668
_cell_length_b 3.3668
_cell_length_c 11.5875
_cell_angle_alpha 90.00
_cell_angle_beta 90.00
_cell_angle_gamma 114.79
loop_
_atom_site_label
_atom_site_type_symbol
_atom_site_fract_x
_atom_site_fract_y
_atom_site_fract_z
Tl1 Tl 0.0000 0.0000 0.0237
Zr1 Zr 0.0000 0.0000 0.4668
K1 K 0.5000 0.5000 0.7562
Tl2 Tl 0.5000 0.5000 0.2533

=====

3.
# GGA-PBE ReAg, optimized geometry
# Volume (Å³/cell): 67
# Magnetic moment (μB/f.u.): 0.00
# E_form (eV/atom): 0.804
# Fermi-level density of states (states/eV/atom): 0.67
# Calculated total energy (eV per atom): -6.845
data_ReAg
_space_group_name_H-M_alt 'P 1'
_space_group_IT_number 1
_space_group_name_Hall 'P 1'
_cell_length_a 2.7280
_cell_length_b 2.7280
_cell_length_c 10.4383
_cell_angle_alpha 90.00
_cell_angle_beta 90.00
_cell_angle_gamma 120.00
loop_
_atom_site_label
_atom_site_type_symbol
_atom_site_fract_x
_atom_site_fract_y
_atom_site_fract_z
Ag1 Ag 0.6667 0.3333 0.5539
Ag2 Ag 0.3333 0.6667 0.0539
Re1 Re 0.6667 0.3333 0.8171
Re2 Re 0.3333 0.6667 0.3171

=====

| no. | ρ (g/cm3) |
| --- | --- |
| 1 | 13.9 |
| 2 | 7.5 |
| 3 | 14.5 |